1.
Computed, not measured: a relaxed AsP2Cl crystal at the GGA-PBE level of DFT.

Results
**ΔE_f (raw)**: 831.9 meV/atom
**Theoretical density**: 4.132 Mg/m³
**Excess energy over the best structure of this formula in the dataset**: 0.829 eV/atom

Structure (CIF):
```
data_AsP2Cl
_chemical_formula_sum 'As1 P2 Cl1'
_cell_length_a 4.5721
_cell_length_b 4.5721
_cell_length_c 3.3125
_cell_angle_alpha 90.00
_cell_angle_beta 90.00
_cell_angle_gamma 90.00
_symmetry_space_group_name_H-M 'P 1'
_symmetry_Int_Tables_number 1
loop_
_symmetry_equiv_pos_as_xyz
'x,y,z'
loop_
_atom_site_label
_atom_site_type_symbol
_atom_site_fract_x
_atom_site_fract_y
_atom_site_fract_z
As1 As 0.5000 0.0000 0.5000
Cl1 Cl 0.0000 0.5000 0.5000
P1 P 0.0000 0.0000 0.0000
P2 P 0.5000 0.5000 0.0000
```

---

2.
Computed, not measured: a relaxed Pm2Er3Tm6 crystal at the GGA-PBE level of DFT.

Results
**Theoretical density**: 8.325 Mg/m³
**Excess energy over the best structure of this formula in the dataset**: 0.000 eV/atom
**Energy of formation**: 0.19 eV/atom

Structure (CIF):
```
data_Pm2Er3Tm6
_chemical_formula_sum 'Pm2 Er3 Tm6'
_cell_length_a 6.0352
_cell_length_b 6.0439
_cell_length_c 11.5754
_cell_angle_alpha 84.96
_cell_angle_beta 79.86
_cell_angle_gamma 60.05
_symmetry_space_group_name_H-M 'P 1'
_symmetry_Int_Tables_number 1
loop_
_symmetry_equiv_pos_as_xyz
'x,y,z'
loop_
_atom_site_label
_atom_site_type_symbol
_atom_site_fract_x
_atom_site_fract_y
_atom_site_fract_z
Pm1 Pm 0.1664 0.6672 0.5000
Pm2 Pm 0.8336 0.3328 0.5000
Er1 Er 0.0000 0.0000 0.0000
Er2 Er 0.3349 0.3303 0.0000
Er3 Er 0.6651 0.6697 0.0000
Tm1 Tm 0.4159 0.6665 0.7534
Tm2 Tm 0.7494 0.0000 0.7532
Tm3 Tm 0.0824 0.3335 0.7534
Tm4 Tm 0.2506 0.0000 0.2468
Tm5 Tm 0.5841 0.3335 0.2466
Tm6 Tm 0.9176 0.6665 0.2466
```

---

3.
Computed, not measured: a relaxed MnTcS2Cl crystal at the GGA-PBE level of DFT.

Results
**ΔE_f (raw)**: 462.9 meV/atom
**Theoretical density**: 4.080 Mg/m³
**Excess energy over the best structure of this formula in the dataset**: 0.000 eV/atom

Structure (CIF):
```
data_MnTcS2Cl
_chemical_formula_sum 'Mn1 Tc1 S2 Cl1'
_cell_length_a 4.7124
_cell_length_b 4.7124
_cell_length_c 4.6285
_cell_angle_alpha 90.00
_cell_angle_beta 90.00
_cell_angle_gamma 90.00
_symmetry_space_group_name_H-M 'P 1'
_symmetry_Int_Tables_number 1
loop_
_symmetry_equiv_pos_as_xyz
'x,y,z'
loop_
_atom_site_label
_atom_site_type_symbol
_atom_site_fract_x
_atom_site_fract_y
_atom_site_fract_z
S1 S 0.0000 0.5000 0.0000
S2 S 0.5000 0.0000 0.0000
Mn1 Mn 0.0000 0.0000 0.0000
Tc1 Tc 0.5000 0.5000 0.5000
Cl1 Cl 0.0000 0.0000 0.5000
```

---

4.
Computed, not measured: a relaxed Cd3Pb7 crystal at the GGA-PBE level of DFT.

Results
**Theoretical density**: 9.868 Mg/m³
**Excess energy over the best structure of this formula in the dataset**: 0.013 eV/atom
**Energy of formation**: 0.07 eV/atom

Structure (CIF):
```
data_Cd3Pb7
_chemical_formula_sum 'Cd6 Pb14'
_cell_length_a 5.9936
_cell_length_b 10.7658
_cell_length_c 10.7658
_cell_angle_alpha 120.00
_cell_angle_beta 90.00
_cell_angle_gamma 90.00
_symmetry_space_group_name_H-M 'P 1'
_symmetry_Int_Tables_number 1
loop_
_symmetry_equiv_pos_as_xyz
'x,y,z'
loop_
_atom_site_label
_atom_site_type_symbol
_atom_site_fract_x
_atom_site_fract_y
_atom_site_fract_z
Cd1 Cd 0.8611 0.1917 0.3834
Cd2 Cd 0.8611 0.1917 0.8083
Cd3 Cd 0.8611 0.6166 0.8083
Cd4 Cd 0.3611 0.8083 0.6166
Cd5 Cd 0.3611 0.8083 0.1917
Cd6 Cd 0.3611 0.3834 0.1917
Pb1 Pb 0.1128 0.6667 0.3333
Pb2 Pb 0.6128 0.3333 0.6667
Pb3 Pb 0.8773 0.8864 0.7728
Pb4 Pb 0.8773 0.8864 0.1136
Pb5 Pb 0.8773 0.2272 0.1136
Pb6 Pb 0.3773 0.1136 0.2272
Pb7 Pb 0.3773 0.1136 0.8864
Pb8 Pb 0.3773 0.7728 0.8864
Pb9 Pb 0.1934 0.4550 0.9100
Pb10 Pb 0.1934 0.4550 0.5450
Pb11 Pb 0.1934 0.0900 0.5450
Pb12 Pb 0.6934 0.5450 0.0900
Pb13 Pb 0.6934 0.5450 0.4550
Pb14 Pb 0.6934 0.9100 0.4550
```

---

5.
Computed, not measured: a relaxed Pr6ZnRu2 crystal at the GGA-PBE level of DFT.

Results
**Theoretical density**: 7.463 Mg/m³
**Excess energy over the best structure of this formula in the dataset**: 0.054 eV/atom
**Energy of formation**: -0.13 eV/atom

Structure (CIF):
```
data_Pr6ZnRu2
_chemical_formula_sum 'Pr6 Zn1 Ru2'
_cell_length_a 5.3490
_cell_length_b 5.7850
_cell_length_c 9.1665
_cell_angle_alpha 81.09
_cell_angle_beta 90.00
_cell_angle_gamma 117.54
_symmetry_space_group_name_H-M 'P 1'
_symmetry_Int_Tables_number 1
loop_
_symmetry_equiv_pos_as_xyz
'x,y,z'
loop_
_atom_site_label
_atom_site_type_symbol
_atom_site_fract_x
_atom_site_fract_y
_atom_site_fract_z
Pr1 Pr 0.9579 0.9159 0.8388
Pr2 Pr 0.7114 0.4228 0.1652
Pr3 Pr 0.2886 0.5772 0.8348
Pr4 Pr 0.6548 0.3097 0.6065
Pr5 Pr 0.3452 0.6903 0.3935
Pr6 Pr 0.0421 0.0841 0.1611
Zn1 Zn 0.0000 0.0000 0.5000
Ru1 Ru 0.6101 0.2201 0.8997
Ru2 Ru 0.3899 0.7799 0.1003
```

---

6.
Computed, not measured: a relaxed MnCdRu2 crystal at the GGA-PBE level of DFT.

Results
**Theoretical density**: 9.948 Mg/m³
**Energy of formation**: 0.29 eV/atom

Structure (CIF):
```
data_MnCdRu2
_chemical_formula_sum 'Mn1 Cd1 Ru2'
_cell_length_a 4.7983
_cell_length_b 4.7983
_cell_length_c 4.8080
_cell_angle_alpha 79.62
_cell_angle_beta 79.62
_cell_angle_gamma 34.57
_symmetry_space_group_name_H-M 'P 1'
_symmetry_Int_Tables_number 1
loop_
_symmetry_equiv_pos_as_xyz
'x,y,z'
loop_
_atom_site_label
_atom_site_type_symbol
_atom_site_fract_x
_atom_site_fract_y
_atom_site_fract_z
Cd1 Cd 0.5009 0.5009 0.5110
Mn1 Mn 0.7427 0.7427 0.7644
Ru1 Ru 0.9978 0.9978 0.0173
Ru2 Ru 0.2586 0.2586 0.2074
```

---

7.
Computed, not measured: a relaxed K3Ac2SnO6 crystal at the GGA-PBE level of DFT.

Results
**ΔE_f (raw)**: -2113.5 meV/atom
**Theoretical density**: 5.658 Mg/m³

Structure (CIF):
```
data_K3Ac2SnO6
_chemical_formula_sum 'K3 Ac2 Sn1 O6'
_cell_length_a 6.4703
_cell_length_b 6.4703
_cell_length_c 6.7068
_cell_angle_alpha 99.03
_cell_angle_beta 99.03
_cell_angle_gamma 120.07
_symmetry_space_group_name_H-M 'P 1'
_symmetry_Int_Tables_number 1
loop_
_symmetry_equiv_pos_as_xyz
'x,y,z'
loop_
_atom_site_label
_atom_site_type_symbol
_atom_site_fract_x
_atom_site_fract_y
_atom_site_fract_z
K1 K 0.1552 0.8448 0.5000
K2 K 0.8448 0.1552 0.5000
K3 K 0.5000 0.5000 0.5000
Ac1 Ac 0.3328 0.6672 0.0000
Ac2 Ac 0.6672 0.3328 0.0000
Sn1 Sn 0.0000 0.0000 0.0000
O1 O 0.9359 0.6229 0.8052
O2 O 0.7480 0.7480 0.1939
O3 O 0.0641 0.3771 0.1948
O4 O 0.6229 0.9359 0.8052
O5 O 0.2520 0.2520 0.8061
O6 O 0.3771 0.0641 0.1948
```

---

8.
Computed, not measured: a relaxed LaDy4HoTm2 crystal at the GGA-PBE level of DFT.

Results
**Theoretical density**: 8.475 Mg/m³
**Energy of formation**: 0.02 eV/atom

Structure (CIF):
```
data_LaDy4HoTm2
_chemical_formula_sum 'La2 Dy8 Ho2 Tm4'
_cell_length_a 7.0943
_cell_length_b 12.2988
_cell_length_c 12.2940
_cell_angle_alpha 131.82
_cell_angle_beta 125.25
_cell_angle_gamma 89.98
_symmetry_space_group_name_H-M 'P 1'
_symmetry_Int_Tables_number 1
loop_
_symmetry_equiv_pos_as_xyz
'x,y,z'
loop_
_atom_site_label
_atom_site_type_symbol
_atom_site_fract_x
_atom_site_fract_y
_atom_site_fract_z
La1 La 0.4998 0.5000 0.4998
La2 La 0.9998 0.9999 0.9998
Dy1 Dy 0.2571 0.7504 0.0042
Dy2 Dy 0.7564 0.2496 0.5034
Dy3 Dy 0.2437 0.7505 0.4967
Dy4 Dy 0.7430 0.2497 0.9959
Dy5 Dy 0.7511 0.7503 0.0041
Dy6 Dy 0.7498 0.7504 0.4967
Dy7 Dy 0.2502 0.2495 0.5033
Dy8 Dy 0.2489 0.2497 0.9959
Ho1 Ho 0.0001 0.5000 0.0001
Ho2 Ho 0.0000 0.5000 0.5000
Tm1 Tm 0.5000 0.0000 0.0000
Tm2 Tm 0.5001 0.0000 0.5001
Tm3 Tm 0.0001 0.0000 0.5000
Tm4 Tm 0.5000 0.5000 0.0000
```